(1)
Compound: TiMnPt6
Source: Alexandria
Functional: PBE
Structure: relaxed

Lattice parameters (Å, degrees): 3.9437 3.9437 7.8659 90.00 90.00 90.00
Fractional positions:
1 Ti 0.0000 0.0000 0.0000
2 Mn 0.0000 0.0000 0.5000
3 Pt 0.0000 0.5000 0.2468
4 Pt 0.0000 0.5000 0.7532
5 Pt 0.5000 0.0000 0.2468
6 Pt 0.5000 0.0000 0.7532
7 Pt 0.5000 0.5000 0.0000
8 Pt 0.5000 0.5000 0.5000

Output
Electronic total energy ... -7.30 eV per atom
Size of the total moment ... 0.58 μB/atom
SG ... P4/mmm


(2)
Compound: Pr7Ho3Mg
Source: Alexandria
Functional: PBE
Structure: relaxed

Lattice parameters (Å, degrees): 7.8159 7.8159 6.4940 92.76 92.76 83.85
Fractional positions:
1 Pr 0.0000 0.0000 0.0000
2 Pr 0.0694 0.4085 0.2606
3 Pr 0.2590 0.2590 0.7853
4 Pr 0.4085 0.0694 0.2606
5 Pr 0.5915 0.9306 0.7394
6 Pr 0.7410 0.7410 0.2147
7 Pr 0.9306 0.5915 0.7394
8 Ho 0.3370 0.6630 0.0000
9 Ho 0.5000 0.5000 0.5000
10 Ho 0.6630 0.3370 0.0000
11 Mg 0.0000 0.0000 0.5000

Output
Electronic total energy ... -4.21 eV per atom
Size of the total moment ... 0.00 μB/atom
SG ... C2/m


(3)
Compound: Zn3CoPt
Source: Alexandria
Functional: PBE
Structure: relaxed

Lattice parameters (Å, degrees): 4.4111 4.4111 4.4111 90.00 90.00 90.00
Fractional positions:
1 Zn 0.0000 0.0000 0.5000
2 Zn 0.0000 0.5000 0.0000
3 Zn 0.5000 0.0000 0.0000
4 Co 0.0000 0.0000 0.0000
5 Pt 0.5000 0.5000 0.5000

Output
Electronic total energy ... -2.81 eV per atom
Size of the total moment ... 0.00 μB/atom
SG ... Pm-3m


- Look up the size of the total moment of the first one.
  0.58 μB/atom


- Which of these has the lowest electronic total energy?
  TiMnPt6


- Which of these has the lowest electronic total energy?
  TiMnPt6


- Which value of electronic total energy does entry 1 give?
  -7.30 eV per atom